Entry 1:
Compound: Dy8Y3Ho
Source: Alexandria
Functional: PBE
Structure: relaxed

Computed properties:
The volume is 37.90 Å³ per atom. For the density of states at the Fermi level, the calculation gives 1.14 states/eV/atom. For the mass density, the calculation gives 6.3 g cm⁻³. The value obtained for the formation energy is 0.749 eV per atom.

Geometry as POSCAR:
```
Dy8Y3Ho
1.0
6.6924 0.0000 -3.7858
-2.1416 6.3405 -3.7858
0.8480 1.1815 9.3073
Dy Y Ho
8 3 1
direct
0.8755 0.3732 0.2487
0.3732 0.3732 0.2487
0.1245 0.1245 0.7513
0.6268 0.1245 0.7513
0.3732 0.8755 0.2487
0.8755 0.8755 0.2487
0.6268 0.6268 0.7513
0.1245 0.6268 0.7513
0.2500 0.7500 0.5000
0.5000 0.5000 0.0000
0.7500 0.2500 0.5000
0.0000 0.0000 0.0000
```

---

Entry 2:
Compound: La2HoEr
Source: Alexandria
Functional: PBE
Structure: relaxed

Computed properties:
The energy above the most stable polymorph in this dataset is 0.0173 eV/atom. The volume is 34.25 Å³ per atom. For the density of states at the Fermi level, the calculation gives 1.67 states/eV/atom. For the mass density, the calculation gives 7.4 g cm⁻³. The value obtained for the formation energy is 0.031 eV per atom.

Geometry as POSCAR:
```
La2HoEr
1.0
-1.6252 -1.0299 5.5152
-2.8858 -6.3777 -2.0419
6.9889 0.0998 2.0776
La Ho Er
4 2 2
direct
0.7500 0.5894 0.9109
0.7500 0.0891 0.4106
0.2500 0.4106 0.0891
0.2500 0.9109 0.5894
0.2500 0.9138 0.0862
0.7500 0.0862 0.9138
0.2500 0.4137 0.5863
0.7500 0.5863 0.4137
```

---

Entry 3:
Compound: Ac3Ag2N
Source: Alexandria
Functional: PBE
Structure: relaxed

Computed properties:
The energy above the most stable polymorph in this dataset is 0.0000 eV/atom. The volume is 30.50 Å³ per atom. For the density of states at the Fermi level, the calculation gives 0.73 states/eV/atom. For the mass density, the calculation gives 8.3 g cm⁻³.

Geometry as POSCAR:
```
Ac3Ag2N
1.0
4.0928 0.0000 -0.6671
0.0000 7.7803 0.0000
-0.2215 0.0000 11.5310
Ac Ag N
6 4 2
direct
0.4096 0.5039 0.8192
0.5904 0.4961 0.1808
0.4096 0.9961 0.8192
0.5904 0.0039 0.1808
0.7823 0.7500 0.5646
0.2177 0.2500 0.4354
0.1621 0.7500 0.3243
0.8379 0.2500 0.6757
0.0041 0.7500 0.0082
0.9959 0.2500 0.9918
0.3440 0.7500 0.6881
0.6560 0.2500 0.3119
```

---

Entry 4:
Compound: ZrZn2Hg
Source: Alexandria
Functional: PBE
Structure: relaxed

Computed properties:
The volume is 19.54 Å³ per atom. For the density of states at the Fermi level, the calculation gives 0.63 states/eV/atom. For the mass density, the calculation gives 9.0 g cm⁻³. The value obtained for the formation energy is 0.037 eV per atom.

Geometry as POSCAR:
```
ZrZn2Hg
1.0
-0.9580 -4.6453 3.3469
3.0918 -4.7640 -1.2014
-0.2691 5.5289 1.7486
Hg Zn Zr
1 2 1
direct
0.2500 0.7500 0.5000
0.0033 0.0033 0.0000
0.4967 0.4967 0.0000
0.7500 0.2500 0.5000
```

---

Entry 5:
Compound: BeAl3Ni4
Source: Alexandria
Functional: PBE
Structure: relaxed

Computed properties:
The volume is 11.33 Å³ per atom. For the density of states at the Fermi level, the calculation gives 0.57 states/eV/atom. For the mass density, the calculation gives 5.9 g cm⁻³. The value obtained for the formation energy is -0.580 eV per atom.

Geometry as POSCAR:
```
BeAl3Ni4
1.0
-0.0552 2.7844 0.2174
-2.1965 -0.1776 1.7166
7.1758 -0.5701 9.1230
Be Al Ni
1 3 4
direct
0.5000 0.5000 0.0000
0.5000 0.5000 0.2372
0.5000 0.5000 0.5000
0.5000 0.5000 0.7628
0.0000 0.0000 0.8924
0.0000 0.0000 0.1076
0.0000 0.0000 0.3674
0.0000 0.0000 0.6326
```

---

Entry 6:
Compound: MgTaMnAl2
Source: Alexandria
Functional: PBE
Structure: relaxed

Computed properties:
The volume is 20.38 Å³ per atom. For the density of states at the Fermi level, the calculation gives 1.23 states/eV/atom. For the mass density, the calculation gives 5.1 g cm⁻³. The value obtained for the formation energy is 1.864 eV per atom.

Geometry as POSCAR:
```
MgTaMnAl2
1.0
4.5850 0.0000 0.0000
0.0000 4.8479 0.0000
0.0000 0.0000 4.5850
Mg Mn Al Ta
1 1 2 1
direct
0.0000 0.0000 0.0000
0.5000 0.5000 0.5000
0.0000 0.0000 0.5000
0.5000 0.0000 0.0000
0.0000 0.5000 0.0000
```

---

Entry 7:
Compound: ZrTaCl2
Source: Alexandria
Functional: PBE
Structure: relaxed

Computed properties:
The energy above the most stable polymorph in this dataset is 0.6334 eV/atom. The volume is 22.31 Å³ per atom. For the density of states at the Fermi level, the calculation gives 0.76 states/eV/atom. For the mass density, the calculation gives 6.4 g cm⁻³.

Geometry as POSCAR:
```
ZrTaCl2
1.0
-7.3795 3.8999 6.8115
-9.3002 2.3742 4.8922
-7.9266 0.8645 7.2447
Cl Zr Ta
2 1 1
direct
0.0241 0.0241 0.0241
0.4759 0.4759 0.4759
0.7500 0.7500 0.7500
0.2500 0.2500 0.2500
```

---

Entry 8:
Compound: Y2Au2Se
Source: Alexandria
Functional: PBE
Structure: relaxed

Computed properties:
The energy above the most stable polymorph in this dataset is 0.1112 eV/atom. The volume is 23.80 Å³ per atom. For the density of states at the Fermi level, the calculation gives 0.50 states/eV/atom. For the mass density, the calculation gives 9.1 g cm⁻³.

Geometry as POSCAR:
```
Y2Au2Se
1.0
7.9114 0.0000 0.0000
0.0000 7.9114 0.0000
0.0000 0.0000 3.8031
Y Au Se
4 4 2
direct
0.1709 0.6709 0.5000
0.6709 0.8291 0.5000
0.8291 0.3291 0.5000
0.3291 0.1709 0.5000
0.3733 0.8733 0.0000
0.8733 0.6267 0.0000
0.6267 0.1267 0.0000
0.1267 0.3733 0.0000
0.0000 0.0000 0.0000
0.5000 0.5000 0.0000
```

---

Entry 9:
Compound: LaCdFe2
Source: Alexandria
Functional: PBE
Structure: relaxed

Computed properties:
The volume is 19.74 Å³ per atom. For the density of states at the Fermi level, the calculation gives 1.37 states/eV/atom. For the mass density, the calculation gives 7.6 g cm⁻³. The value obtained for the formation energy is 0.694 eV per atom.

Geometry as POSCAR:
```
LaCdFe2
1.0
8.3407 0.0238 0.0142
7.6577 3.3056 0.0142
7.6577 1.5937 2.8961
Cd Fe La
1 2 1
direct
0.7500 0.7500 0.7500
0.0019 0.0019 0.0019
0.4981 0.4981 0.4981
0.2500 0.2500 0.2500
```

---

Entry 10:
Compound: Ti2BeB
Source: Alexandria
Functional: PBE
Structure: relaxed

Computed properties:
The energy above the most stable polymorph in this dataset is 0.0000 eV/atom. The volume is 11.48 Å³ per atom. For the density of states at the Fermi level, the calculation gives 0.84 states/eV/atom. For the mass density, the calculation gives 4.2 g cm⁻³. The value obtained for the formation energy is -0.161 eV per atom.

Geometry as POSCAR:
```
Ti2BeB
1.0
-0.3057 -1.9563 -2.5181
3.0333 -1.9533 1.1493
-2.2373 -2.2748 2.0389
Be B Ti
1 1 2
direct
0.5000 0.0000 0.0000
0.5000 0.5000 0.5000
0.0000 0.0000 0.5000
0.0000 0.5000 0.0000
```

---

Entry 11:
Compound: LiHoZnAg
Source: Alexandria
Functional: PBE
Structure: relaxed

Computed properties:
The volume is 19.98 Å³ per atom. For the density of states at the Fermi level, the calculation gives 1.06 states/eV/atom. For the mass density, the calculation gives 7.2 g cm⁻³. The value obtained for the formation energy is -0.202 eV per atom.

Geometry as POSCAR:
```
LiHoZnAg
1.0
4.8346 0.0000 0.0000
2.4173 4.1869 0.0000
2.4173 1.3956 3.9474
Zn Ho Ag Li
1 1 1 1
direct
0.2500 0.2500 0.2500
0.5000 0.5000 0.5000
0.7500 0.7500 0.7500
0.0000 0.0000 0.0000
```

---

Entry 12:
Compound: La2YOs2
Source: Alexandria
Functional: PBE
Structure: relaxed

Computed properties:
The energy above the most stable polymorph in this dataset is 0.2755 eV/atom. The volume is 23.65 Å³ per atom. For the density of states at the Fermi level, the calculation gives 1.08 states/eV/atom. For the mass density, the calculation gives 10.5 g cm⁻³. The value obtained for the formation energy is 0.260 eV per atom.

Geometry as POSCAR:
```
La2YOs2
1.0
-4.7615 -0.3332 -7.0153
5.5922 -5.3074 -3.5435
-1.6452 -2.5602 1.2383
Y Os La
2 4 4
direct
0.0000 0.0000 0.0000
0.5000 0.5000 0.0000
0.1785 0.6785 0.5000
0.6785 0.8215 0.5000
0.8215 0.3215 0.5000
0.3215 0.1785 0.5000
0.3695 0.8695 0.0000
0.8695 0.6305 0.0000
0.6305 0.1305 0.0000
0.1305 0.3695 0.0000
```

---

Entry 13:
Compound: MgZr2Pb
Source: Alexandria
Functional: PBE
Structure: relaxed

Computed properties:
The volume is 24.54 Å³ per atom. For the density of states at the Fermi level, the calculation gives 0.93 states/eV/atom. For the mass density, the calculation gives 7.0 g cm⁻³. The value obtained for the formation energy is 0.244 eV per atom.

Geometry as POSCAR:
```
MgZr2Pb
1.0
8.0980 0.0000 0.0000
0.0000 8.0980 0.0000
4.0490 4.0490 2.9942
Pb Mg Zr
2 2 4
direct
0.0000 0.0000 0.0000
0.7500 0.2500 0.5000
0.5000 0.5000 0.0000
0.2500 0.7500 0.5000
0.6301 0.1250 0.2500
0.1199 0.6250 0.2500
0.3750 0.3699 0.7500
0.8750 0.8801 0.7500
```

---

Entry 14:
Compound: TmMgSi2
Source: Alexandria
Functional: PBE
Structure: relaxed

Computed properties:
The energy above the most stable polymorph in this dataset is 0.2141 eV/atom. The volume is 19.88 Å³ per atom. For the density of states at the Fermi level, the calculation gives 0.50 states/eV/atom. For the mass density, the calculation gives 5.2 g cm⁻³.

Geometry as POSCAR:
```
TmMgSi2
1.0
-2.5403 -0.7151 3.5157
1.3417 -2.7467 3.1591
1.7008 2.4639 4.4785
Si Tm Mg
2 1 1
direct
0.7685 0.7685 0.6946
0.2315 0.2315 0.3054
0.0000 0.0000 0.0000
0.5000 0.5000 0.5000
```

---

Entry 15:
Compound: BaIn6Ag2
Source: Alexandria
Functional: PBE
Structure: relaxed

Computed properties:
The energy above the most stable polymorph in this dataset is 0.2381 eV/atom. The volume is 33.34 Å³ per atom. For the density of states at the Fermi level, the calculation gives 0.54 states/eV/atom. For the mass density, the calculation gives 5.8 g cm⁻³. The value obtained for the formation energy is 0.094 eV per atom.

Geometry as POSCAR:
```
BaIn6Ag2
1.0
-9.2184 -1.1210 -1.8456
-4.6095 -7.5678 3.3351
-6.3724 1.0124 6.9289
Ba In Ag
2 12 4
direct
0.5000 0.5000 0.5000
0.7500 0.7500 0.7500
0.2392 0.2392 0.7608
0.7608 0.7608 0.2392
0.2392 0.7608 0.2392
0.2392 0.7608 0.7608
0.4892 0.4892 0.0108
0.4892 0.0108 0.0108
0.7608 0.2392 0.7608
0.0108 0.0108 0.4892
0.4892 0.0108 0.4892
0.0108 0.4892 0.4892
0.7608 0.2392 0.2392
0.0108 0.4892 0.0108
0.1250 0.1250 0.1250
0.1250 0.6250 0.1250
0.1250 0.1250 0.6250
0.6250 0.1250 0.1250
```

---

Entry 16:
Compound: Ba8Ga2Ge
Source: Alexandria
Functional: PBE
Structure: relaxed

Computed properties:
The energy above the most stable polymorph in this dataset is 0.0000 eV/atom. The volume is 43.57 Å³ per atom. For the density of states at the Fermi level, the calculation gives 0.93 states/eV/atom. For the mass density, the calculation gives 4.5 g cm⁻³. The value obtained for the formation energy is -0.229 eV per atom.

Geometry as POSCAR:
```
Ba8Ga2Ge
1.0
-1.7557 2.8876 4.8009
-1.1360 -7.1210 3.8676
10.7266 1.5372 -0.5916
Ba Ga Ge
8 2 1
direct
0.4063 0.5703 0.8126
0.6644 0.9572 0.3287
0.7937 0.6843 0.5874
0.9673 0.1995 0.9346
0.2063 0.3157 0.4126
0.3356 0.0428 0.6713
0.5937 0.4297 0.1874
0.0327 0.8005 0.0654
0.8140 0.2935 0.6279
0.1860 0.7065 0.3721
0.5000 0.0000 0.0000
```

---

Entry 17:
Compound: BeP2Se
Source: Alexandria
Functional: PBE
Structure: relaxed

Computed properties:
The energy above the most stable polymorph in this dataset is 0.4931 eV/atom. The volume is 19.25 Å³ per atom. For the density of states at the Fermi level, the calculation gives 0.28 states/eV/atom. For the mass density, the calculation gives 3.2 g cm⁻³.

Geometry as POSCAR:
```
BeP2Se
1.0
5.3760 0.0000 0.0000
0.0000 5.3760 0.0000
2.6880 2.6880 5.3280
P Se Be
4 2 2
direct
0.5558 0.1250 0.2500
0.1942 0.6250 0.2500
0.3750 0.4442 0.7500
0.8750 0.8058 0.7500
0.0000 0.0000 0.0000
0.7500 0.2500 0.5000
0.5000 0.5000 0.0000
0.2500 0.7500 0.5000
```